Record 1
# LaOsIO2, single point on PBEsol structure, DFT SCAN
# VASP energy ... -33.02 eV per atom
# Theoretical density ... 6713 kg/m3
# Density of states at the Fermi level ... 0.970 states/eV per atom
data_LaOsIO2
_chemical_formula_sum 'La1 Os1 I1 O2'
_cell_length_a 4.1818
_cell_length_b 4.1818
_cell_length_c 6.9034
_cell_angle_alpha 90.00
_cell_angle_beta 90.00
_cell_angle_gamma 90.00
_space_group_name_H-M_alt 'P 4/m m m'
_space_group_IT_number 123
_space_group_name_Hall '-P 4 2'
loop_
_atom_site_label
_atom_site_type_symbol
_atom_site_fract_x
_atom_site_fract_y
_atom_site_fract_z
La1 La 0.0000 0.0000 0.0000
Os1 Os 0.5000 0.5000 0.5000
I1 I 0.0000 0.0000 0.5000
O1 O 0.0000 0.5000 0.0000

Record 2
# LaRhIO2, single point on PBEsol structure, DFT SCAN
# VASP energy ... -26.13 eV per atom
# Theoretical density ... 7398 kg/m3
# Density of states at the Fermi level ... 0.321 states/eV per atom
data_LaRhIO2
_chemical_formula_sum 'La1 Rh1 I1 O2'
_cell_length_a 4.2903
_cell_length_b 4.2903
_cell_length_c 4.8866
_cell_angle_alpha 90.00
_cell_angle_beta 90.00
_cell_angle_gamma 90.00
_space_group_name_H-M_alt 'P 4/m m m'
_space_group_IT_number 123
_space_group_name_Hall '-P 4 2'
loop_
_atom_site_label
_atom_site_type_symbol
_atom_site_fract_x
_atom_site_fract_y
_atom_site_fract_z
La1 La 0.0000 0.0000 0.0000
Rh1 Rh 0.5000 0.5000 0.5000
I1 I 0.5000 0.5000 0.0000
O1 O 0.0000 0.5000 0.5000

Record 3
# LaSbIO2, single point on PBEsol structure, DFT SCAN
# VASP energy ... -26.75 eV per atom
# Theoretical density ... 6320 kg/m3
# Density of states at the Fermi level ... 0.255 states/eV per atom
data_LaSbIO2
_chemical_formula_sum 'La1 Sb1 I1 O2'
_cell_length_a 4.3579
_cell_length_b 4.3579
_cell_length_c 5.8044
_cell_angle_alpha 90.00
_cell_angle_beta 90.00
_cell_angle_gamma 90.00
_space_group_name_H-M_alt 'P 4/m m m'
_space_group_IT_number 123
_space_group_name_Hall '-P 4 2'
loop_
_atom_site_label
_atom_site_type_symbol
_atom_site_fract_x
_atom_site_fract_y
_atom_site_fract_z
La1 La 0.0000 0.0000 0.0000
Sb1 Sb 0.5000 0.5000 0.5000
I1 I 0.5000 0.5000 0.0000
O1 O 0.0000 0.5000 0.5000

Record 4
# LaSiIO2, single point on PBEsol structure, DFT SCAN
# VASP energy ... -21.37 eV per atom
# Theoretical density ... 4262 kg/m3
# Density of states at the Fermi level ... 0.663 states/eV per atom
data_LaSiIO2
_chemical_formula_sum 'La1 Si1 I1 O2'
_cell_length_a 4.3327
_cell_length_b 4.3327
_cell_length_c 6.7640
_cell_angle_alpha 90.00
_cell_angle_beta 90.00
_cell_angle_gamma 90.00
_space_group_name_H-M_alt 'P 4/m m m'
_space_group_IT_number 123
_space_group_name_Hall '-P 4 2'
loop_
_atom_site_label
_atom_site_type_symbol
_atom_site_fract_x
_atom_site_fract_y
_atom_site_fract_z
La1 La 0.0000 0.0000 0.0000
Si1 Si 0.5000 0.5000 0.5000
I1 I 0.0000 0.0000 0.5000
O1 O 0.0000 0.5000 0.0000

Record 5
# LaTcI2O, single point on PBEsol structure, DFT SCAN
# VASP energy ... -32.32 eV per atom
# Theoretical density ... 7179 kg/m3
# Density of states at the Fermi level ... 0.586 states/eV per atom
data_LaTcI2O
_chemical_formula_sum 'La1 Tc1 I2 O1'
_cell_length_a 5.5819
_cell_length_b 5.5819
_cell_length_c 3.7616
_cell_angle_alpha 90.00
_cell_angle_beta 90.00
_cell_angle_gamma 90.00
_space_group_name_H-M_alt 'P 4/m m m'
_space_group_IT_number 123
_space_group_name_Hall '-P 4 2'
loop_
_atom_site_label
_atom_site_type_symbol
_atom_site_fract_x
_atom_site_fract_y
_atom_site_fract_z
La1 La 0.0000 0.0000 0.0000
Tc1 Tc 0.5000 0.5000 0.5000
I1 I 0.0000 0.5000 0.5000
O1 O 0.5000 0.5000 0.0000

Record 6
# LaTe2IO, single point on PBEsol structure, DFT SCAN
# VASP energy ... -32.95 eV per atom
# Theoretical density ... 7163 kg/m3
# Density of states at the Fermi level ... 0.287 states/eV per atom
data_LaTe2IO
_chemical_formula_sum 'La1 Te2 I1 O1'
_cell_length_a 4.5808
_cell_length_b 4.5808
_cell_length_c 5.9332
_cell_angle_alpha 90.00
_cell_angle_beta 90.00
_cell_angle_gamma 90.00
_space_group_name_H-M_alt 'P 4/m m m'
_space_group_IT_number 123
_space_group_name_Hall '-P 4 2'
loop_
_atom_site_label
_atom_site_type_symbol
_atom_site_fract_x
_atom_site_fract_y
_atom_site_fract_z
La1 La 0.0000 0.0000 0.0000
Te1 Te 0.0000 0.5000 0.5000
I1 I 0.5000 0.5000 0.0000
O1 O 0.5000 0.5000 0.5000

Record 7
# LaWI2O, single point on PBEsol structure, DFT SCAN
# VASP energy ... -39.04 eV per atom
# Theoretical density ... 8109 kg/m3
# Density of states at the Fermi level ... 0.623 states/eV per atom
data_LaWI2O
_chemical_formula_sum 'La1 W1 I2 O1'
_cell_length_a 5.6380
_cell_length_b 5.6380
_cell_length_c 3.8173
_cell_angle_alpha 90.00
_cell_angle_beta 90.00
_cell_angle_gamma 90.00
_space_group_name_H-M_alt 'P 4/m m m'
_space_group_IT_number 123
_space_group_name_Hall '-P 4 2'
loop_
_atom_site_label
_atom_site_type_symbol
_atom_site_fract_x
_atom_site_fract_y
_atom_site_fract_z
La1 La 0.0000 0.0000 0.0000
W1 W 0.5000 0.5000 0.5000
I1 I 0.0000 0.5000 0.5000
O1 O 0.5000 0.5000 0.0000

Record 8
# LaZrIO2, single point on PBEsol structure, DFT SCAN
# VASP energy ... -26.49 eV per atom
# Theoretical density ... 6365 kg/m3
# Density of states at the Fermi level ... 0.630 states/eV per atom
data_LaZrIO2
_chemical_formula_sum 'La1 Zr1 I1 O2'
_cell_length_a 4.2442
_cell_length_b 4.2442
_cell_length_c 5.6342
_cell_angle_alpha 90.00
_cell_angle_beta 90.00
_cell_angle_gamma 90.00
_space_group_name_H-M_alt 'P 4/m m m'
_space_group_IT_number 123
_space_group_name_Hall '-P 4 2'
loop_
_atom_site_label
_atom_site_type_symbol
_atom_site_fract_x
_atom_site_fract_y
_atom_site_fract_z
La1 La 0.0000 0.0000 0.0000
Zr1 Zr 0.5000 0.5000 0.5000
I1 I 0.5000 0.5000 0.0000
O1 O 0.0000 0.5000 0.5000

Record 9
# La6OsI10, single point on PBEsol structure, DFT SCAN
# VASP energy ... -42.56 eV per atom
# Theoretical density ... 5523 kg/m3
# Density of states at the Fermi level ... 0.224 states/eV per atom
data_La6OsI10
_chemical_formula_sum 'La6 Os1 I10'
_cell_length_a 7.9685
_cell_length_b 9.8600
_cell_length_c 9.8715
_cell_angle_alpha 108.22
_cell_angle_beta 97.37
_cell_angle_gamma 105.80
_space_group_name_H-M_alt 'P -1'
_space_group_IT_number 2
loop_
_space_group_symop_operation_xyz
'x,y,z'
'-x,-y,-z'
loop_
_atom_site_label
_atom_site_type_symbol
_atom_site_fract_x
_atom_site_fract_y
_atom_site_fract_z
La1 La 0.0297 0.2105 0.4130
La2 La 0.1169 0.5401 0.2575
La3 La 0.3709 0.6402 0.6822
Os1 Os 0.0000 0.5000 0.5000
I1 I 0.0873 0.8710 0.3145
I2 I 0.2005 0.2280 0.1375
I3 I 0.2697 0.5864 0.9669
I4 I 0.3670 0.9714 0.7764
I5 I 0.4517 0.3157 0.5904

Record 10
# La10Os2I15, single point on PBEsol structure, DFT SCAN
# VASP energy ... -43.15 eV per atom
# Theoretical density ... 5804 kg/m3
# Density of states at the Fermi level ... 0.617 states/eV per atom
data_La10Os2I15
_chemical_formula_sum 'La10 Os2 I15'
_cell_length_a 9.9452
_cell_length_b 10.8333
_cell_length_c 11.6459
_cell_angle_alpha 92.10
_cell_angle_beta 114.03
_cell_angle_gamma 110.35
_space_group_name_H-M_alt 'P -1'
_space_group_IT_number 2
loop_
_space_group_symop_operation_xyz
'x,y,z'
'-x,-y,-z'
loop_
_atom_site_label
_atom_site_type_symbol
_atom_site_fract_x
_atom_site_fract_y
_atom_site_fract_z
La1 La 0.0259 0.2040 0.0981
La2 La 0.0876 0.5415 0.3306
La3 La 0.1667 0.2460 0.8205
La4 La 0.2295 0.5819 0.0528
La5 La 0.3021 0.9096 0.2791
Os1 Os 0.0324 0.6749 0.1205
I1 I 0.0957 0.0471 0.3462
I2 I 0.1483 0.3885 0.5814
I3 I 0.2217 0.7446 0.8172
I4 I 0.2738 0.0910 0.0570
I5 I 0.3500 0.4454 0.3046
I6 I 0.3922 0.7973 0.5373
I7 I 0.4279 0.1502 0.7674
I8 I 0.5000 0.5000 0.0000

Record 11
# La2Os2I, single point on PBEsol structure, DFT SCAN
# VASP energy ... -54.11 eV per atom
# Theoretical density ... 9346 kg/m3
# Density of states at the Fermi level ... 1.033 states/eV per atom
data_La2Os2I
_chemical_formula_sum 'La4 Os4 I2'
_cell_length_a 4.2681
_cell_length_b 4.2681
_cell_length_c 17.6863
_cell_angle_alpha 90.00
_cell_angle_beta 90.00
_cell_angle_gamma 120.00
_space_group_name_H-M_alt 'P 63/m m c'
_space_group_IT_number 194
_space_group_name_Hall '-P 6c 2c'
loop_
_atom_site_label
_atom_site_type_symbol
_atom_site_fract_x
_atom_site_fract_y
_atom_site_fract_z
La1 La 0.0000 0.0000 0.1110
Os1 Os 0.3333 0.6667 0.0010
I1 I 0.3333 0.6667 0.2500

Record 12
# LaOsI3, single point on PBEsol structure, DFT SCAN
# VASP energy ... -44.96 eV per atom
# Theoretical density ... 8055 kg/m3
# Density of states at the Fermi level ... 0.742 states/eV per atom
data_LaOsI3
_chemical_formula_sum 'La1 Os1 I3'
_cell_length_a 5.2697
_cell_length_b 5.2697
_cell_length_c 5.2697
_cell_angle_alpha 90.00
_cell_angle_beta 90.00
_cell_angle_gamma 90.00
_space_group_name_H-M_alt 'P m -3 m'
_space_group_IT_number 221
_space_group_name_Hall '-P 4 2 3'
loop_
_atom_site_label
_atom_site_type_symbol
_atom_site_fract_x
_atom_site_fract_y
_atom_site_fract_z
La1 La 0.0000 0.0000 0.0000
Os1 Os 0.5000 0.5000 0.5000
I1 I 0.0000 0.5000 0.5000